Entry 1:
Cs2PrZn2S4 after structural relaxation, computed with PBE.

The structure in extended XYZ format:
```
9
Lattice="-0.856 -2.528 -3.315 -5.305 -4.217 4.586 -3.307 7.162 -1.877" Properties=species:S:1:pos:R:3 pbc="T T T"
Cs -3.926 -0.771 1.602
Cs -5.542 1.188 -2.207
Pr 0.000 0.000 0.000
Zn -6.974 -3.362 1.632
Zn -2.493 3.778 -2.238
S -2.268 1.744 -0.745
S -7.199 -1.327 0.139
S -4.775 -4.213 1.714
S -4.693 4.630 -2.319
```

Computed properties:
- magnetic moment (μB/atom) = 0.000
- formation energy from raw total energies (kJ per mole of atoms) = -109.97
- crystal system = monoclinic
- SG = C2/m, No. 12
- calculated density (g/cm³) = 4.30

---

Entry 2:
CsPrZnS3 after structural relaxation, computed with PBE.

The structure in extended XYZ format:
```
12
Lattice="4.166 0.000 0.000 0.000 9.599 -0.367 0.000 -2.907 9.515" Properties=species:S:1:pos:R:3 pbc="T T T"
Cs 1.041 1.281 2.166
Cs 3.124 5.411 6.982
Pr 1.041 5.970 1.147
Pr 3.124 0.722 8.001
Zn 1.041 -0.997 5.772
Zn 3.124 7.689 3.376
S 3.124 7.967 1.089
S 1.041 -1.275 8.059
S 1.041 6.580 4.108
S 3.124 0.112 5.040
S 3.124 4.033 1.274
S 1.041 2.659 7.874
```

Computed properties:
- magnetic moment (μB/atom) = 0.000
- formation energy from raw total energies (kJ per mole of atoms) = -140.93
- crystal system = monoclinic
- SG = P2_1/m, No. 11
- calculated density (g/cm³) = 3.85

---

Entry 3:
Cs3Pr3ZrS8 after structural relaxation, computed with PBE.

The structure in extended XYZ format:
```
15
Lattice="-4.128 -5.988 -3.985 1.951 -0.931 8.008 -7.072 6.119 -1.868" Properties=species:S:1:pos:R:3 pbc="T T T"
Cs 0.000 0.000 0.000
Cs 0.975 -0.466 4.004
Cs -1.089 -3.460 2.011
Pr -5.600 0.066 -2.926
Pr -4.625 -0.400 1.077
Pr -2.561 2.594 3.070
Zr -3.536 3.059 -0.934
S -2.267 -0.216 2.672
S -6.983 -0.585 -0.517
S -4.417 -3.275 0.868
S -4.832 2.475 1.287
S -5.472 -2.772 -3.463
S -3.777 1.972 5.618
S -3.239 0.467 -1.307
S -6.010 -1.267 3.462
```

Computed properties:
- magnetic moment (μB/atom) = 0.000
- formation energy from raw total energies (kJ per mole of atoms) = -169.71
- crystal system = monoclinic
- SG = C2/m, No. 12
- calculated density (g/cm³) = 3.95

---

Entry 4:
CsPrZrS4 after structural relaxation, computed with PBE.

The structure in extended XYZ format:
```
14
Lattice="7.138 0.000 -0.123 0.000 7.125 0.000 -2.958 0.000 9.259" Properties=species:S:1:pos:R:3 pbc="T T T"
Cs 2.379 5.344 8.625
Cs 1.801 1.781 0.511
Pr 4.338 5.344 4.081
Pr -0.159 1.781 5.055
Zr 0.763 5.344 3.115
Zr 3.416 1.781 6.021
S 5.056 3.577 6.259
S -0.876 0.014 2.877
S -0.876 3.548 2.877
S 5.056 7.111 6.259
S 2.685 5.344 1.677
S 1.494 1.781 7.459
S 1.667 5.344 5.297
S 2.512 1.781 3.839
```

Computed properties:
- magnetic moment (μB/atom) = 0.000
- formation energy from raw total energies (kJ per mole of atoms) = -158.88
- crystal system = monoclinic
- SG = P2_1/m, No. 11
- calculated density (g/cm³) = 3.50

---

Entry 5:
Cs2Pr2ZrS6 after structural relaxation, computed with PBE.

The structure in extended XYZ format:
```
11
Lattice="7.056 0.011 0.056 -3.478 6.139 0.056 -1.283 -2.205 8.215" Properties=species:S:1:pos:R:3 pbc="T T T"
Cs 5.263 1.054 0.056
Cs -1.685 5.096 0.056
Pr -0.606 2.992 4.164
Pr 2.901 0.953 4.164
Zr -0.641 -1.102 4.107
S 1.839 3.160 5.658
S -1.724 0.767 5.604
S 0.457 0.785 2.669
S 1.518 -1.120 5.604
S 4.019 3.178 2.724
S 0.777 5.065 2.724
```

Computed properties:
- magnetic moment (μB/atom) = 0.000
- formation energy from raw total energies (kJ per mole of atoms) = -168.45
- crystal system = monoclinic
- SG = C2/m, No. 12
- calculated density (g/cm³) = 3.86

---

Entry 6:
Cs3Pr2ZrS6 after structural relaxation, computed with PBE.

The structure in extended XYZ format:
```
12
Lattice="-1.188 -6.182 -3.381 -0.747 0.391 7.096 -7.143 3.939 -2.171" Properties=species:S:1:pos:R:3 pbc="T T T"
Cs -4.393 1.243 4.229
Cs -4.684 -3.095 -2.686
Cs -4.538 -0.926 0.772
Pr -0.894 -1.802 3.601
Pr -1.040 -3.989 0.113
Zr 0.000 0.000 0.000
S -7.409 -2.342 -0.477
S -2.786 -3.630 2.394
S -1.668 0.491 2.020
S -7.273 -0.312 2.759
S -6.291 1.778 -0.851
S -1.804 -1.539 -1.216
```

Computed properties:
- magnetic moment (μB/atom) = 0.000
- formation energy from raw total energies (kJ per mole of atoms) = -159.06
- crystal system = monoclinic
- SG = C2/m, No. 12
- calculated density (g/cm³) = 4.47

---

Entry 7:
Cs3PrSb2Se6 after structural relaxation, computed with PBE.

The structure in extended XYZ format:
```
12
Lattice="7.554 -0.001 0.000 -3.776 6.543 0.000 -1.260 -2.182 8.357" Properties=species:S:1:pos:R:3 pbc="T T T"
Cs -2.532 4.369 4.178
Cs 5.049 -0.010 4.178
Cs 1.259 2.180 4.178
Pr 0.000 0.000 0.000
Sb 0.000 4.361 0.000
Sb 3.777 2.180 0.000
Se 3.805 2.127 6.782
Se 2.489 4.309 1.567
Se -1.287 2.232 1.574
Se -0.059 4.359 6.782
Se 0.029 0.050 6.790
Se 2.576 0.000 1.574
```

Computed properties:
- magnetic moment (μB/atom) = 0.000
- formation energy from raw total energies (kJ per mole of atoms) = -98.32
- crystal system = monoclinic
- SG = C2/m, No. 12
- calculated density (g/cm³) = 5.05

---

Entry 8:
Cs3Pr3SbSe8 after structural relaxation, computed with PBE.

The structure in extended XYZ format:
```
15
Lattice="-3.848 -4.082 -6.627 8.000 -2.306 2.464 -7.384 -2.822 6.026" Properties=species:S:1:pos:R:3 pbc="T T T"
Cs 0.000 0.000 0.000
Cs 4.000 -1.153 1.232
Cs 2.076 -3.194 -2.082
Pr -5.616 -3.452 -0.301
Pr -1.616 -4.605 0.931
Pr 0.308 -2.564 4.245
Sb -3.692 -1.411 3.013
Se 0.994 -3.216 1.404
Se -4.225 -5.994 0.458
Se -0.843 -5.386 -1.880
Se -2.388 -3.825 3.743
Se -5.070 -4.167 -3.181
Se 1.839 -5.043 5.044
Se -3.038 -2.011 0.319
Se -0.194 -7.200 1.543
```

Computed properties:
- magnetic moment (μB/atom) = 0.000
- formation energy from raw total energies (kJ per mole of atoms) = -135.21
- crystal system = trigonal
- SG = R-3m, No. 166
- calculated density (g/cm³) = 4.67

---

Entry 9:
Cs2PrSbTe4 after structural relaxation, computed with PBE.

The structure in extended XYZ format:
```
16
Lattice="-7.325 -3.178 5.708 -0.930 -7.977 -5.644 8.690 2.206 3.963" Properties=species:S:1:pos:R:3 pbc="T T T"
Cs -3.663 -1.589 2.854
Cs 0.682 -0.486 4.836
Cs 4.345 1.103 1.981
Cs -4.128 -5.577 0.032
Pr -0.465 -3.988 -2.822
Pr -3.446 -6.063 4.868
Sb 0.217 -4.474 2.014
Sb 1.364 -0.972 9.671
Te 6.287 -4.372 0.771
Te -1.227 -3.684 4.739
Te 1.661 -5.264 -0.711
Te -5.853 -4.576 3.256
Te 2.024 -6.171 4.038
Te -1.590 -7.088 2.389
Te 2.024 -1.860 1.638
Te -1.589 -2.777 -0.010
```

Computed properties:
- magnetic moment (μB/atom) = 0.000
- formation energy from raw total energies (kJ per mole of atoms) = -87.52
- crystal system = orthorhombic
- SG = Imma, No. 74
- calculated density (g/cm³) = 5.16

---

Entry 10:
Cs3PrSc2Se6 after structural relaxation, computed with PBE.

The structure in extended XYZ format:
```
12
Lattice="-6.064 2.631 3.023 -0.427 -4.341 -5.814 1.775 -6.084 5.933" Properties=species:S:1:pos:R:3 pbc="T T T"
Cs -0.454 -6.252 -1.413
Cs -4.261 -1.543 4.555
Cs -2.358 -3.897 1.571
Pr 0.000 0.000 0.000
Sc -2.304 -2.019 -2.871
Sc -4.186 0.309 0.080
Se -4.493 -5.042 4.295
Se -4.258 -2.302 -0.900
Se -0.222 -2.752 -1.153
Se -2.492 -7.517 1.159
Se -0.458 -5.492 4.041
Se -2.223 -0.277 1.983
```

Computed properties:
- magnetic moment (μB/atom) = 0.000
- formation energy from raw total energies (kJ per mole of atoms) = -155.03
- crystal system = monoclinic
- SG = C2/m, No. 12
- calculated density (g/cm³) = 4.80

---

Entry 11:
Cs3Pr2ScSe6 after structural relaxation, computed with PBE.

The structure in extended XYZ format:
```
12
Lattice="7.481 -0.001 -0.001 -3.739 6.479 -0.001 -1.248 -2.161 8.380" Properties=species:S:1:pos:R:3 pbc="T T T"
Cs -2.450 4.293 4.189
Cs 4.942 0.024 4.189
Cs 1.246 2.158 4.189
Pr 0.004 4.317 -0.001
Pr 3.737 2.161 -0.001
Sc 0.000 0.000 0.000
Se 3.661 2.292 6.824
Se 2.572 4.453 1.570
Se -1.168 2.024 1.555
Se 0.155 4.317 6.824
Se -0.079 -0.137 6.808
Se 2.337 0.000 1.555
```

Computed properties:
- magnetic moment (μB/atom) = 0.000
- formation energy from raw total energies (kJ per mole of atoms) = -160.08
- crystal system = monoclinic
- SG = C2/m, No. 12
- calculated density (g/cm³) = 4.90

---

Entry 12:
Cs2PrScTe4 after structural relaxation, computed with PBE.

The structure in extended XYZ format:
```
8
Lattice="4.543 0.000 0.000 0.000 7.885 0.135 0.000 -2.767 8.858" Properties=species:S:1:pos:R:3 pbc="T T T"
Cs 2.271 -1.384 4.429
Cs 0.000 2.559 4.496
Pr 2.271 3.942 0.067
Sc 0.000 0.000 0.000
Te 2.271 1.149 1.654
Te 2.271 3.968 7.339
Te 0.000 -0.260 7.192
Te 0.000 5.378 1.801
```

Computed properties:
- magnetic moment (μB/atom) = 0.000
- formation energy from raw total energies (kJ per mole of atoms) = -126.14
- crystal system = monoclinic
- SG = P2/m, No. 10
- calculated density (g/cm³) = 5.01